Ac2GeCl after structural relaxation. Source: Alexandria via LeMat-Bulk, functional PBE.

Lattice parameters (Å, degrees): 7.721 7.721 7.721 90.00 90.00 90.00
Element x y z (fractional)
Ac1 0.250 0.250 0.250
Ac2 0.250 0.250 0.750
Ac3 0.250 0.750 0.250
Ac4 0.250 0.750 0.750
Ac5 0.750 0.250 0.250
Ac6 0.750 0.250 0.750
Ac7 0.750 0.750 0.250
Ac8 0.750 0.750 0.750
Ge1 0.000 0.000 0.000
Ge2 0.000 0.500 0.500
Ge3 0.500 0.000 0.500
Ge4 0.500 0.500 0.000
Cl1 0.000 0.000 0.500
Cl2 0.000 0.500 0.000
Cl3 0.500 0.000 0.000
Cl4 0.500 0.500 0.500

Values from the calculation:
size of the total moment	0.0	Bohr magnetons per cell
uncorrected formation energy	-1.096	eV per atom
DOS(E_F)	0.499	states/eV per atom
space-group type	No. 225
energy relative to the lowest polymorph listed for this composition	0.143	eV/atom
crystal system	cubic